FeSbTeN2 | PBE-GGA | optimized geometry

Its crystal system is tetragonal. Its energy above the most stable polymorph in this dataset is 299 meV per atom.

The space group is P4/mmm (No. 123) and the conventional cell measures 3.888, 3.888 and 6.460 Å, with angles of 90.00, 90.00 and 90.00 degrees. Symmetry generates all atoms from Fe at (0.000, 0.000, 0.000), Sb at (0.500, 0.500, 0.500), Te at (0.500, 0.500, 0.000) and N at (0.000, 0.500, 0.500).

---

FeSbTeN2 | PBE-GGA | optimized geometry

Its crystal system is tetragonal. Its energy above the most stable polymorph in this dataset is 0 meV per atom.

The space group is P4/mmm (No. 123) and the conventional cell measures 3.942, 3.942 and 5.235 Å, with angles of 90.00, 90.00 and 90.00 degrees. Symmetry generates all atoms from Fe at (0.000, 0.000, 0.000), Sb at (0.500, 0.500, 0.500), Te at (0.000, 0.000, 0.500) and N at (0.000, 0.500, 0.000).

---

Sc2FeN | PBE-GGA | optimized geometry

Its crystal system is tetragonal.

The space group is I-42d (No. 122) and the conventional cell measures 6.114, 6.114 and 7.445 Å, with angles of 90.00, 90.00 and 90.00 degrees. Symmetry generates all atoms from Sc at (0.169, 0.750, 0.125), Fe at (0.000, 0.000, 0.500) and N at (0.000, 0.000, 0.000).

---

ScFe3N | PBE-GGA | optimized geometry

Its crystal system is cubic. Its energy above the most stable polymorph in this dataset is 2733 meV per atom.

The space group is Pm-3m (No. 221) and the conventional cell measures 4.417, 4.417 and 4.417 Å, with angles of 90.00, 90.00 and 90.00 degrees. Symmetry generates all atoms from Sc at (0.000, 0.000, 0.000), Fe at (0.000, 0.000, 0.500) and N at (0.500, 0.500, 0.500).

---

ScFe3N | PBE-GGA | optimized geometry

Its crystal system is cubic. Its energy above the most stable polymorph in this dataset is 0 meV per atom.

The space group is Pm-3m (No. 221) and the conventional cell measures 3.803, 3.803 and 3.803 Å, with angles of 90.00, 90.00 and 90.00 degrees. Symmetry generates all atoms from Sc at (0.000, 0.000, 0.000), Fe at (0.000, 0.500, 0.500) and N at (0.500, 0.500, 0.500).

---

Sc2FeN | PBE-GGA | optimized geometry

Its crystal system is trigonal.

The space group is R-3m (No. 166, hexagonal axes) and the conventional cell measures 3.0939, 3.0939 and 22.7776 Å, with angles of 90.00, 90.00 and 120.00 degrees. Symmetry generates all atoms from Sc at (0.0000, 0.0000, 0.1118), Fe at (0.0000, 0.0000, 0.0000) and N at (0.0000, 0.0000, 0.5000).

---

Uncorrected formation energy per entry: 1.467; 1.168; -0.339; 2.488; -0.245; -0.558 eV/atom
VASP energy per entry: -25.04; -26.54; -123.23; -27.60; -41.27; -95.04 eV for the cell shown